! Na2AgHg4 PBE-GGA optimized geometry; values from VASP
&SYSTEM
  ibrav = 0, nat = 7, ntyp = 3
/
ATOMIC_SPECIES
Na 22.99 Na.upf
Hg 200.59 Hg.upf
Ag 107.87 Ag.upf
CELL_PARAMETERS angstrom
-0.602 5.077 -0.055
-4.737 -0.581 -1.836
0.180 -2.472 7.439
ATOMIC_POSITIONS angstrom
Na -3.927 2.135 2.337
Na -1.231 -0.111 3.211
Hg -0.852 2.489 1.411
Hg -2.920 -0.340 0.521
Hg -4.306 -0.465 4.137
Hg -2.239 2.364 5.027
Ag 0.000 0.000 0.000
! Energy relative to the lowest polymorph listed for this composition ... 0.0 meV per atom
! Magnetization ... 0.00 μB per cell
! Space group ... I4/mmm (139)
! ΔE_f ... -131 meV/atom